No. 1
Compound: CeIrAu
Source: the Alexandria database
Functional: PBE
Structure: relaxed

a b c (Å): 4.6834 4.6834 3.3108
angles (deg): 90.00 90.00 120.00
Fractional positions:
Ce1 0.0000 0.0000 0.0000
Ir1 0.3333 0.6667 0.4982
Au1 0.6667 0.3333 0.5003

Results
E above lowest polymorph, meV/atom: 230.3
Formation enthalpy at 0 K, eV per atom: -0.4242
Total magnetization, μB per formula unit: 0.428
Calculated total energy, eV/atom: -6.448
ρ, g/cm³: 14.0


No. 2
Compound: Pr2GeP3Ir4
Source: the Alexandria database
Functional: PBE
Structure: relaxed

a b c (Å): 4.1817 4.1817 9.9204
angles (deg): 90.00 90.00 90.00
Fractional positions:
Pr1 0.0000 0.5000 0.2475
Pr2 0.5000 0.0000 0.7525
Ge1 0.5000 0.5000 0.0000
P1 0.0000 0.0000 0.0000
P2 0.0000 0.5000 0.6365
P3 0.5000 0.0000 0.3635
Ir1 0.0000 0.0000 0.5000
Ir2 0.0000 0.5000 0.8732
Ir3 0.5000 0.0000 0.1268
Ir4 0.5000 0.5000 0.5000

Results
Formation enthalpy at 0 K, eV per atom: -0.8982
Total magnetization, μB per formula unit: 0.000
Calculated total energy, eV/atom: -7.483
ρ, g/cm³: 11.6


No. 3
Compound: CuIr2Se
Source: the Alexandria database
Functional: PBE
Structure: relaxed

a b c (Å): 4.5432 4.5432 4.8109
angles (deg): 100.49 100.49 37.04
Fractional positions:
Cu1 0.0000 0.0000 0.0000
Ir1 0.2488 0.2488 0.7526
Ir2 0.7512 0.7512 0.2474
Se1 0.5000 0.5000 0.5000

Results
Total magnetization, μB per formula unit: 0.000
Calculated total energy, eV/atom: -6.035
ρ, g/cm³: 14.9
Energy relative to the elements, uncorrected, eV/atom: 0.29